Here is a relaxed structure of TmNi3As2 from Alexandria. Energies are from GGA-PBE.

Its excess energy over the best structure of this formula in the dataset is 0.00 kcal/mol of atoms. For the spin magnetization, the calculation gives 0.00 Bohr magnetons per cell.

The space group is C2/m (No. 12) and the conventional cell measures 15.487, 3.833 and 9.372 Å, with angles of 90.00, 106.59 and 90.00 degrees. Symmetry generates all atoms from Tm at (0.000, 0.000, 0.000), Tm at (0.155, 0.000, 0.700), Ni at (0.000, 0.500, 0.500), Ni at (0.044, 0.000, 0.341), Ni at (0.123, 0.500, 0.201), Ni at (0.177, 0.500, 0.969), Ni at (0.216, 0.000, 0.388), As at (0.036, 0.500, 0.785), As at (0.141, 0.500, 0.457) and As at (0.199, 0.000, 0.130).


Here is a relaxed structure of TmNi5As2 from Alexandria. Energies are from GGA-PBE.

For the spin magnetization, the calculation gives 0.00 Bohr magnetons per cell. The calculation puts the total DFT energy (no corrections) at -5.826 eV/atom.

The space group is Immm (No. 71) and the conventional cell measures 3.725, 6.631 and 9.093 Å, with angles of 90.00, 90.00 and 90.00 degrees. Symmetry generates all atoms from Tm at (0.000, 0.000, 0.000), Ni at (0.000, 0.188, 0.359), Ni at (0.000, 0.500, 0.000) and As at (0.000, 0.500, 0.251).


Here is a relaxed structure of TmNiAs from Alexandria. Energies are from GGA-PBE.

For the spin magnetization, the calculation gives 0.00 Bohr magnetons per cell. The calculation puts the total DFT energy (no corrections) at -6.013 eV/atom.

The space group is P6_3/mmc (No. 194) and the conventional cell measures 4.0433, 4.0433 and 15.0325 Å, with angles of 90.00, 90.00 and 120.00 degrees. Symmetry generates all atoms from Tm at (0.0000, 0.0000, 0.0000), Tm at (0.0000, 0.0000, 0.2500), Ni at (0.3333, 0.6667, 0.1359) and As at (0.3333, 0.6667, 0.6197).


Here is a relaxed structure of Tm4NiAs from Alexandria. Energies are from GGA-PBE.

For the spin magnetization, the calculation gives 0.00 Bohr magnetons per cell. The calculation puts the total DFT energy (no corrections) at -5.204 eV/atom.

The space group is C2/m (No. 12) and the conventional cell measures 6.654, 6.655 and 6.818 Å, with angles of 90.00, 90.15 and 90.00 degrees. Symmetry generates all atoms from Tm at (0.249, 0.250, 0.235), Ni at (0.000, 0.000, 0.000) and As at (0.000, 0.500, 0.500).


Here is a relaxed structure of TmNiAs from Alexandria. Energies are from GGA-PBE.

For the spin magnetization, the calculation gives 0.00 Bohr magnetons per cell. The calculation puts the total DFT energy (no corrections) at -6.002 eV/atom.

The space group is P-6m2 (No. 187) and the conventional cell measures 4.0271, 4.0271 and 3.8171 Å, with angles of 90.00, 90.00 and 120.00 degrees. Symmetry generates all atoms from Tm at (0.0000, 0.0000, 0.0000), Ni at (0.3333, 0.6667, 0.5000) and As at (0.6667, 0.3333, 0.5000).


Here is a relaxed structure of Tm2NiAs2 from Alexandria. Energies are from GGA-PBE.

For the spin magnetization, the calculation gives 0.00 Bohr magnetons per cell. The calculation puts the total DFT energy (no corrections) at -6.025 eV/atom.

The space group is P6_3mc (No. 186) and the conventional cell measures 4.0768, 4.0768 and 13.9425 Å, with angles of 90.00, 90.00 and 120.00 degrees. Symmetry generates all atoms from Tm at (0.3333, 0.6667, 0.0000), Tm at (0.3333, 0.6667, 0.2654), Ni at (0.0000, 0.0000, 0.1231), As at (0.0000, 0.0000, 0.3835) and As at (0.3333, 0.6667, 0.6360).


Here is a relaxed structure of TmNiAs from Alexandria. Energies are from GGA-PBE.

For the spin magnetization, the calculation gives 0.00 Bohr magnetons per cell. The calculation puts the total DFT energy (no corrections) at -6.000 eV/atom.

The space group is P6_3/mmc (No. 194) and the conventional cell measures 4.0333, 4.0333 and 7.5742 Å, with angles of 90.00, 90.00 and 120.00 degrees. Symmetry generates all atoms from Tm at (0.0000, 0.0000, 0.0000), Ni at (0.3333, 0.6667, 0.2500) and As at (0.3333, 0.6667, 0.7500).


Here is a relaxed structure of TmNi3As2 from Alexandria. Energies are from GGA-PBE.

Its excess energy over the best structure of this formula in the dataset is 1.90 kcal/mol of atoms. For the spin magnetization, the calculation gives 0.00 Bohr magnetons per cell.

The space group is C2/m (No. 12) and the conventional cell measures 14.817, 3.889 and 6.987 Å, with angles of 90.00, 115.81 and 90.00 degrees. Symmetry generates all atoms from Tm at (0.149, 0.000, 0.069), Ni at (0.046, 0.000, 0.386), Ni at (0.101, 0.500, 0.682), Ni at (0.187, 0.500, 0.440), As at (0.020, 0.500, 0.194) and As at (0.196, 0.000, 0.701).